Record 1
A plane-wave DFT calculation with PBE-GGA was carried out for a geometry-optimized NaIn4IrPt2 structure.

Cell and atoms, written as CIF:
```
data_NaIn4IrPt2
_symmetry_space_group_name_H-M 'R -3 m'
_symmetry_Int_Tables_number 166
_symmetry_space_group_name_Hall '-R 3 2"'
_cell_length_a 4.7596
_cell_length_b 4.7596
_cell_length_c 23.0664
_cell_angle_alpha 90.00
_cell_angle_beta 90.00
_cell_angle_gamma 120.00
loop_
_atom_site_label
_atom_site_fract_x
_atom_site_fract_y
_atom_site_fract_z
Na1 0.0000 0.0000 0.0000
In1 0.0000 0.0000 0.1333
In2 0.0000 0.0000 0.3804
Ir1 0.0000 0.0000 0.5000
Pt1 0.0000 0.0000 0.2588
```

DOS at the Fermi energy: 0.35 states/eV per atom
calculated formation energy: -0.251 eV/atom
ρ: 11.72 g/cm3
E: -4.403 eV per atom



Record 2
A plane-wave DFT calculation with PBE-GGA was carried out for a geometry-optimized RbNaInIr2 structure.

Cell and atoms, written as CIF:
```
data_RbNaInIr2
_symmetry_space_group_name_H-M 'P 4/m m m'
_symmetry_Int_Tables_number 123
_symmetry_space_group_name_Hall '-P 4 2'
_cell_length_a 4.993
_cell_length_b 4.993
_cell_length_c 5.241
_cell_angle_alpha 90.00
_cell_angle_beta 90.00
_cell_angle_gamma 90.00
loop_
_atom_site_label
_atom_site_fract_x
_atom_site_fract_y
_atom_site_fract_z
Rb1 0.000 0.000 0.000
Na1 0.500 0.500 0.500
In1 0.500 0.500 0.000
Ir1 0.000 0.500 0.500
```

DOS at the Fermi energy: 1.58 states/eV per atom
calculated formation energy: 1.574 eV/atom
ρ: 7.72 g/cm3
E: -2.975 eV per atom



Record 3
A plane-wave DFT calculation with PBE-GGA was carried out for a geometry-optimized NaInSb2Ir structure.

Cell and atoms, written as CIF:
```
data_NaInSb2Ir
_symmetry_space_group_name_H-M 'P 4/m m m'
_symmetry_Int_Tables_number 123
_symmetry_space_group_name_Hall '-P 4 2'
_cell_length_a 5.597
_cell_length_b 5.597
_cell_length_c 5.031
_cell_angle_alpha 90.00
_cell_angle_beta 90.00
_cell_angle_gamma 90.00
loop_
_atom_site_label
_atom_site_fract_x
_atom_site_fract_y
_atom_site_fract_z
Na1 0.000 0.000 0.000
In1 0.500 0.500 0.500
Sb1 0.000 0.500 0.500
Ir1 0.500 0.500 0.000
```

DOS at the Fermi energy: 0.90 states/eV per atom
ρ: 6.04 g/cm3
E: -3.393 eV per atom



Record 4
A plane-wave DFT calculation with PBE-GGA was carried out for a geometry-optimized NaSmInIr structure.

Cell and atoms, written as CIF:
```
data_NaSmInIr
_symmetry_space_group_name_H-M 'F -4 3 m'
_symmetry_Int_Tables_number 216
_symmetry_space_group_name_Hall 'F -4 2 3'
_cell_length_a 6.981
_cell_length_b 6.981
_cell_length_c 6.981
_cell_angle_alpha 90.00
_cell_angle_beta 90.00
_cell_angle_gamma 90.00
loop_
_atom_site_label
_atom_site_fract_x
_atom_site_fract_y
_atom_site_fract_z
Na1 0.000 0.000 0.000
Sm1 0.250 0.250 0.750
In1 0.250 0.250 0.250
Ir1 0.000 0.000 0.500
```

DOS at the Fermi energy: 1.11 states/eV per atom
calculated formation energy: -0.248 eV/atom
ρ: 9.38 g/cm3
E: -4.658 eV per atom



Record 5
A plane-wave DFT calculation with PBE-GGA was carried out for a geometry-optimized NaInSnIr structure.

Cell and atoms, written as CIF:
```
data_NaInSnIr
_symmetry_space_group_name_H-M 'F -4 3 m'
_symmetry_Int_Tables_number 216
_symmetry_space_group_name_Hall 'F -4 2 3'
_cell_length_a 6.745
_cell_length_b 6.745
_cell_length_c 6.745
_cell_angle_alpha 90.00
_cell_angle_beta 90.00
_cell_angle_gamma 90.00
loop_
_atom_site_label
_atom_site_fract_x
_atom_site_fract_y
_atom_site_fract_z
Na1 0.000 0.000 0.000
In1 0.250 0.250 0.750
Sn1 0.250 0.250 0.250
Ir1 0.000 0.000 0.500
```

DOS at the Fermi energy: 0.51 states/eV per atom
calculated formation energy: -0.094 eV/atom
ρ: 9.71 g/cm3
E: -4.325 eV per atom



Record 6
A plane-wave DFT calculation with PBE-GGA was carried out for a geometry-optimized NaIn2SnIr structure.

Cell and atoms, written as CIF:
```
data_NaIn2SnIr
_symmetry_space_group_name_H-M 'P 4/m m m'
_symmetry_Int_Tables_number 123
_symmetry_space_group_name_Hall '-P 4 2'
_cell_length_a 5.224
_cell_length_b 5.224
_cell_length_c 5.187
_cell_angle_alpha 90.00
_cell_angle_beta 90.00
_cell_angle_gamma 90.00
loop_
_atom_site_label
_atom_site_fract_x
_atom_site_fract_y
_atom_site_fract_z
Na1 0.000 0.000 0.000
In1 0.000 0.500 0.500
Sn1 0.500 0.500 0.000
Ir1 0.500 0.500 0.500
```

DOS at the Fermi energy: 0.78 states/eV per atom
calculated formation energy: -0.037 eV/atom
ρ: 6.61 g/cm3
E: -3.969 eV per atom



Record 7
A plane-wave DFT calculation with PBE-GGA was carried out for a geometry-optimized NaInSnIr structure.

Cell and atoms, written as CIF:
```
data_NaInSnIr
_symmetry_space_group_name_H-M 'R 3 m'
_symmetry_Int_Tables_number 160
_symmetry_space_group_name_Hall 'R 3 -2"'
_cell_length_a 4.4874
_cell_length_b 4.4874
_cell_length_c 16.6891
_cell_angle_alpha 90.00
_cell_angle_beta 90.00
_cell_angle_gamma 120.00
loop_
_atom_site_label
_atom_site_fract_x
_atom_site_fract_y
_atom_site_fract_z
Na1 0.0000 0.0000 0.0000
In1 0.0000 0.0000 0.4367
Sn1 0.0000 0.0000 0.2091
Ir1 0.0000 0.0000 0.8221
```

DOS at the Fermi energy: 0.39 states/eV per atom
calculated formation energy: -0.127 eV/atom
ρ: 7.68 g/cm3
E: -4.357 eV per atom



Record 8
A plane-wave DFT calculation with PBE-GGA was carried out for a geometry-optimized NaIn2SnIr structure.

Cell and atoms, written as CIF:
```
data_NaIn2SnIr
_symmetry_space_group_name_H-M 'P 4/m m m'
_symmetry_Int_Tables_number 123
_symmetry_space_group_name_Hall '-P 4 2'
_cell_length_a 5.140
_cell_length_b 5.140
_cell_length_c 5.361
_cell_angle_alpha 90.00
_cell_angle_beta 90.00
_cell_angle_gamma 90.00
loop_
_atom_site_label
_atom_site_fract_x
_atom_site_fract_y
_atom_site_fract_z
Na1 0.000 0.000 0.000
In1 0.000 0.500 0.500
Sn1 0.500 0.500 0.000
Ir1 0.000 0.000 0.500
```

DOS at the Fermi energy: 0.66 states/eV per atom
calculated formation energy: 0.223 eV/atom
ρ: 6.61 g/cm3
E: -3.709 eV per atom



Record 9
A plane-wave DFT calculation with PBE-GGA was carried out for a geometry-optimized NaSr2InIr structure.

Cell and atoms, written as CIF:
```
data_NaSr2InIr
_symmetry_space_group_name_H-M 'P 4/m m m'
_symmetry_Int_Tables_number 123
_symmetry_space_group_name_Hall '-P 4 2'
_cell_length_a 5.864
_cell_length_b 5.864
_cell_length_c 5.256
_cell_angle_alpha 90.00
_cell_angle_beta 90.00
_cell_angle_gamma 90.00
loop_
_atom_site_label
_atom_site_fract_x
_atom_site_fract_y
_atom_site_fract_z
Na1 0.000 0.000 0.000
Sr1 0.000 0.500 0.500
In1 0.500 0.500 0.000
Ir1 0.500 0.500 0.500
```

DOS at the Fermi energy: 0.53 states/eV per atom
calculated formation energy: -0.192 eV/atom
ρ: 4.64 g/cm3
E: -3.448 eV per atom



Record 10
A plane-wave DFT calculation with PBE-GGA was carried out for a geometry-optimized NaSrIn2Ir structure.

Cell and atoms, written as CIF:
```
data_NaSrIn2Ir
_symmetry_space_group_name_H-M 'P 4/m m m'
_symmetry_Int_Tables_number 123
_symmetry_space_group_name_Hall '-P 4 2'
_cell_length_a 5.180
_cell_length_b 5.180
_cell_length_c 5.446
_cell_angle_alpha 90.00
_cell_angle_beta 90.00
_cell_angle_gamma 90.00
loop_
_atom_site_label
_atom_site_fract_x
_atom_site_fract_y
_atom_site_fract_z
Na1 0.000 0.000 0.000
Sr1 0.500 0.500 0.000
In1 0.000 0.500 0.500
Ir1 0.000 0.000 0.500
```

DOS at the Fermi energy: 0.65 states/eV per atom
calculated formation energy: -0.108 eV/atom
ρ: 6.05 g/cm3
E: -3.576 eV per atom



Record 11
A plane-wave DFT calculation with PBE-GGA was carried out for a geometry-optimized NaSrIn2Ir structure.

Cell and atoms, written as CIF:
```
data_NaSrIn2Ir
_symmetry_space_group_name_H-M 'P 4/m m m'
_symmetry_Int_Tables_number 123
_symmetry_space_group_name_Hall '-P 4 2'
_cell_length_a 5.254
_cell_length_b 5.254
_cell_length_c 5.730
_cell_angle_alpha 90.00
_cell_angle_beta 90.00
_cell_angle_gamma 90.00
loop_
_atom_site_label
_atom_site_fract_x
_atom_site_fract_y
_atom_site_fract_z
Na1 0.000 0.000 0.000
Sr1 0.500 0.500 0.000
In1 0.000 0.500 0.500
Ir1 0.500 0.500 0.500
```

DOS at the Fermi energy: 0.57 states/eV per atom
calculated formation energy: -0.179 eV/atom
ρ: 5.59 g/cm3
E: -3.647 eV per atom



Record 12
A plane-wave DFT calculation with PBE-GGA was carried out for a geometry-optimized Na2SrInIr structure.

Cell and atoms, written as CIF:
```
data_Na2SrInIr
_symmetry_space_group_name_H-M 'P 4/m m m'
_symmetry_Int_Tables_number 123
_symmetry_space_group_name_Hall '-P 4 2'
_cell_length_a 5.387
_cell_length_b 5.387
_cell_length_c 6.320
_cell_angle_alpha 90.00
_cell_angle_beta 90.00
_cell_angle_gamma 90.00
loop_
_atom_site_label
_atom_site_fract_x
_atom_site_fract_y
_atom_site_fract_z
Na1 0.000 0.500 0.000
Sr1 0.000 0.000 0.500
In1 0.000 0.000 0.000
Ir1 0.500 0.500 0.500
```

DOS at the Fermi energy: 1.40 states/eV per atom
calculated formation energy: 0.992 eV/atom
ρ: 3.99 g/cm3
E: -2.192 eV per atom



Record 13
A plane-wave DFT calculation with PBE-GGA was carried out for a geometry-optimized NaTbInIr structure.

Cell and atoms, written as CIF:
```
data_NaTbInIr
_symmetry_space_group_name_H-M 'F -4 3 m'
_symmetry_Int_Tables_number 216
_symmetry_space_group_name_Hall 'F -4 2 3'
_cell_length_a 6.921
_cell_length_b 6.921
_cell_length_c 6.921
_cell_angle_alpha 90.00
_cell_angle_beta 90.00
_cell_angle_gamma 90.00
loop_
_atom_site_label
_atom_site_fract_x
_atom_site_fract_y
_atom_site_fract_z
Na1 0.000 0.000 0.000
Tb1 0.250 0.250 0.250
In1 0.250 0.250 0.750
Ir1 0.000 0.000 0.500
```

DOS at the Fermi energy: 1.17 states/eV per atom
calculated formation energy: -0.274 eV/atom
ρ: 9.80 g/cm3
E: -4.661 eV per atom



Record 14
A plane-wave DFT calculation with PBE-GGA was carried out for a geometry-optimized NaTlInIr structure.

Cell and atoms, written as CIF:
```
data_NaTlInIr
_symmetry_space_group_name_H-M 'F -4 3 m'
_symmetry_Int_Tables_number 216
_symmetry_space_group_name_Hall 'F -4 2 3'
_cell_length_a 6.832
_cell_length_b 6.832
_cell_length_c 6.832
_cell_angle_alpha 90.00
_cell_angle_beta 90.00
_cell_angle_gamma 90.00
loop_
_atom_site_label
_atom_site_fract_x
_atom_site_fract_y
_atom_site_fract_z
Na1 0.000 0.000 0.000
Tl1 0.250 0.250 0.250
In1 0.250 0.250 0.750
Ir1 0.000 0.000 0.500
```

DOS at the Fermi energy: 0.66 states/eV per atom
calculated formation energy: 0.074 eV/atom
ρ: 11.13 g/cm3
E: -3.747 eV per atom



Record 15
A plane-wave DFT calculation with PBE-GGA was carried out for a geometry-optimized NaTmInIr structure.

Cell and atoms, written as CIF:
```
data_NaTmInIr
_symmetry_space_group_name_H-M 'F -4 3 m'
_symmetry_Int_Tables_number 216
_symmetry_space_group_name_Hall 'F -4 2 3'
_cell_length_a 6.860
_cell_length_b 6.860
_cell_length_c 6.860
_cell_angle_alpha 90.00
_cell_angle_beta 90.00
_cell_angle_gamma 90.00
loop_
_atom_site_label
_atom_site_fract_x
_atom_site_fract_y
_atom_site_fract_z
Na1 0.000 0.000 0.000
Tm1 0.250 0.250 0.750
In1 0.250 0.250 0.250
Ir1 0.000 0.000 0.500
```

DOS at the Fermi energy: 1.10 states/eV per atom
calculated formation energy: -0.292 eV/atom
ρ: 10.26 g/cm3
E: -4.639 eV per atom



Record 16
A plane-wave DFT calculation with PBE-GGA was carried out for a geometry-optimized NaZn2InIr structure.

Cell and atoms, written as CIF:
```
data_NaZn2InIr
_symmetry_space_group_name_H-M 'P 4/m m m'
_symmetry_Int_Tables_number 123
_symmetry_space_group_name_Hall '-P 4 2'
_cell_length_a 4.914
_cell_length_b 4.914
_cell_length_c 5.098
_cell_angle_alpha 90.00
_cell_angle_beta 90.00
_cell_angle_gamma 90.00
loop_
_atom_site_label
_atom_site_fract_x
_atom_site_fract_y
_atom_site_fract_z
Na1 0.000 0.000 0.000
Zn1 0.000 0.500 0.500
In1 0.500 0.500 0.000
Ir1 0.500 0.500 0.500
```

DOS at the Fermi energy: 0.27 states/eV per atom
calculated formation energy: -0.086 eV/atom
ρ: 6.22 g/cm3
E: -3.180 eV per atom



Record 17
A plane-wave DFT calculation with PBE-GGA was carried out for a geometry-optimized NaZnInIr structure.

Cell and atoms, written as CIF:
```
data_NaZnInIr
_symmetry_space_group_name_H-M 'F -4 3 m'
_symmetry_Int_Tables_number 216
_symmetry_space_group_name_Hall 'F -4 2 3'
_cell_length_a 6.523
_cell_length_b 6.523
_cell_length_c 6.523
_cell_angle_alpha 90.00
_cell_angle_beta 90.00
_cell_angle_gamma 90.00
loop_
_atom_site_label
_atom_site_fract_x
_atom_site_fract_y
_atom_site_fract_z
Na1 0.000 0.000 0.000
Zn1 0.250 0.250 0.250
In1 0.250 0.250 0.750
Ir1 0.000 0.000 0.500
```

DOS at the Fermi energy: 0.33 states/eV per atom
calculated formation energy: -0.041 eV/atom
ρ: 9.46 g/cm3
E: -3.589 eV per atom



Record 18
A plane-wave DFT calculation with PBE-GGA was carried out for a geometry-optimized Nb2InIr3 structure.

Cell and atoms, written as CIF:
```
data_Nb2InIr3
_symmetry_space_group_name_H-M 'P 4/m m m'
_symmetry_Int_Tables_number 123
_symmetry_space_group_name_Hall '-P 4 2'
_cell_length_a 3.389
_cell_length_b 3.389
_cell_length_c 8.858
_cell_angle_alpha 90.00
_cell_angle_beta 90.00
_cell_angle_gamma 90.00
loop_
_atom_site_label
_atom_site_fract_x
_atom_site_fract_y
_atom_site_fract_z
Nb1 0.000 0.000 0.165
In1 0.000 0.000 0.500
Ir1 0.500 0.500 0.000
Ir2 0.500 0.500 0.318
```

DOS at the Fermi energy: 0.93 states/eV per atom
calculated formation energy: -0.264 eV/atom
ρ: 14.32 g/cm3
E: -8.508 eV per atom



Record 19
A plane-wave DFT calculation with PBE-GGA was carried out for a geometry-optimized Nb4InIr5 structure.

Cell and atoms, written as CIF:
```
data_Nb4InIr5
_symmetry_space_group_name_H-M 'P 4/m m m'
_symmetry_Int_Tables_number 123
_symmetry_space_group_name_Hall '-P 4 2'
_cell_length_a 2.909
_cell_length_b 2.909
_cell_length_c 19.323
_cell_angle_alpha 90.00
_cell_angle_beta 90.00
_cell_angle_gamma 90.00
loop_
_atom_site_label
_atom_site_fract_x
_atom_site_fract_y
_atom_site_fract_z
Nb1 0.000 0.000 0.100
Nb2 0.000 0.000 0.300
In1 0.000 0.000 0.500
Ir1 0.500 0.500 0.000
Ir2 0.500 0.500 0.200
Ir3 0.500 0.500 0.396
```

DOS at the Fermi energy: 0.73 states/eV per atom
calculated formation energy: -0.451 eV/atom
ρ: 14.70 g/cm3
E: -9.183 eV per atom



Record 20
A plane-wave DFT calculation with PBE-GGA was carried out for a geometry-optimized NbInIr3 structure.

Cell and atoms, written as CIF:
```
data_NbInIr3
_symmetry_space_group_name_H-M 'P m -3 m'
_symmetry_Int_Tables_number 221
_symmetry_space_group_name_Hall '-P 4 2 3'
_cell_length_a 4.753
_cell_length_b 4.753
_cell_length_c 4.753
_cell_angle_alpha 90.00
_cell_angle_beta 90.00
_cell_angle_gamma 90.00
loop_
_atom_site_label
_atom_site_fract_x
_atom_site_fract_y
_atom_site_fract_z
Nb1 0.000 0.000 0.000
In1 0.500 0.500 0.500
Ir1 0.000 0.500 0.500
```

DOS at the Fermi energy: 3.01 states/eV per atom
calculated formation energy: 1.955 eV/atom
ρ: 12.13 g/cm3
E: -5.923 eV per atom



Number 1: total magnetization 0.00 μB/f.u.. Number 2: total magnetization 0.84 μB/f.u.. Number 3: total magnetization 0.00 μB/f.u.. Number 4: total magnetization 0.00 μB/f.u.. Number 5: total magnetization 0.00 μB/f.u.. Number 6: total magnetization 0.00 μB/f.u.. Number 7: total magnetization 0.00 μB/f.u.. Number 8: total magnetization 0.00 μB/f.u.. Number 9: total magnetization 0.00 μB/f.u.. Number 10: total magnetization 0.00 μB/f.u.. Number 11: total magnetization 0.00 μB/f.u.. Number 12: total magnetization 1.25 μB/f.u.. Number 13: total magnetization 0.00 μB/f.u.. Number 14: total magnetization 0.00 μB/f.u.. Number 15: total magnetization 0.00 μB/f.u.. Number 16: total magnetization 0.00 μB/f.u.. Number 17: total magnetization 0.00 μB/f.u.. Number 18: total magnetization 0.00 μB/f.u.. Number 19: total magnetization 0.00 μB/f.u.. Number 20: total magnetization 0.00 μB/f.u..